A plane-wave DFT calculation with PBE was carried out for an optimized crystal structure of PrNd6Er12.

Results
- space group = R-3m (166)
- DFT formation energy (eV/atom) = 0.12
- energy above the most stable polymorph in this dataset (meV per atom) = 0
- crystal system = trigonal
- spin magnetization (μB per atom) = 0.000

a = 8.650 Å, b = 8.650 Å, c = 8.650 Å
α = 79.64°, β = 79.64°, γ = 79.64°
Fractional positions:
1 Pr 0.000 0.000 0.000
2 Nd 0.768 0.768 0.165
3 Nd 0.835 0.232 0.232
4 Nd 0.232 0.835 0.232
5 Nd 0.232 0.232 0.835
6 Nd 0.165 0.768 0.768
7 Nd 0.768 0.165 0.768
8 Er 0.804 0.485 0.485
9 Er 0.485 0.804 0.485
10 Er 0.485 0.485 0.804
11 Er 0.196 0.515 0.515
12 Er 0.515 0.196 0.515
13 Er 0.515 0.515 0.196
14 Er 0.138 0.138 0.481
15 Er 0.862 0.519 0.862
16 Er 0.519 0.862 0.862
17 Er 0.862 0.862 0.519
18 Er 0.138 0.481 0.138
19 Er 0.481 0.138 0.138